{"formula": "La2Ga3Hg3", "functional": "PBE", "state": "optimized geometry", "lattice": [[6.6698, 0.0000, 0.0000], [0.0000, 4.8579, 0.0000], [-3.2322, 0.0000, 5.9686]], "species": ["La", "La", "Ga", "Ga", "Ga", "Hg", "Hg", "Hg"], "fractional_positions": [[0.0000, 0.0000, 0.0000], [0.3345, 0.5000, 0.6813], [0.3559, 0.5000, 0.1805], [0.4988, 0.0000, 0.0262], [0.8156, 0.5000, 0.6481], [0.5050, 0.0000, 0.4874], [0.8113, 0.5000, 0.1789], [0.9773, 0.0000, 0.4978]], "m_tot_mub_per_cell": 0.00, "relative_energy_ev_per_atom": 0.005}